A relaxed structure of NaCaDyWO6. Source: Alexandria via LeMat-Bulk, functional PBE+U.

POSCAR file:
```
NaCaDyWO6
1.0
4.434 -2.440 2.969
1.849 2.412 5.020
-1.024 -2.704 5.106
O W Dy Na Ca
6 1 1 1 1
Cartesian
3.474 -1.869 4.873
2.995 -3.134 7.263
4.340 -0.740 7.222
0.919 -1.992 5.873
2.264 0.402 5.832
1.785 -0.863 8.223
2.630 -1.366 6.548
0.000 0.000 0.000
3.944 -2.049 9.821
1.315 -0.683 3.274
```

N(E_F): 0.00 states/eV/f.u.
Electronic total energy: -7.0448 eV/atom
M_tot: 0.000 μB per atom